Entry 1:
This record from the Alexandria database describes a relaxed Th3FeB7 crystal. The functional is PBE-GGA.

Summary:
Crystal system: orthorhombic
Total magnetization (μB per formula unit): 0.0
Formation energy (kJ/mol of atoms): -39.4
DOS(E_F) (states/eV/atom): 0.539
VASP energy (eV/atom): -7.45

a b c (Å): 8.253 8.253 10.108
angles (deg): 90.00 90.00 155.68
Positions (direct):
Th 0.099 0.901 0.553
Th 0.099 0.901 0.947
Th 0.256 0.744 0.250
Th 0.744 0.256 0.750
Th 0.901 0.099 0.053
Th 0.901 0.099 0.447
Fe 0.063 0.937 0.250
Fe 0.937 0.063 0.750
B 0.272 0.728 0.532
B 0.272 0.728 0.968
B 0.359 0.641 0.658
B 0.359 0.641 0.842
B 0.464 0.536 0.250
B 0.465 0.535 0.629
B 0.465 0.535 0.871
B 0.535 0.465 0.129
B 0.535 0.465 0.371
B 0.536 0.464 0.750
B 0.641 0.359 0.158
B 0.641 0.359 0.342
B 0.728 0.272 0.032
B 0.728 0.272 0.468

Entry 2:
This record from the Alexandria database describes a relaxed Th3Fe3B8 crystal. The functional is PBE-GGA.

Summary:
Crystal system: orthorhombic
Total magnetization (μB per formula unit): 2.6
Formation energy (kJ/mol of atoms): -21.3
DOS(E_F) (states/eV/atom): 0.616
VASP energy (eV/atom): -7.44

a b c (Å): 7.927 7.927 7.927
angles (deg): 156.69 115.95 69.15
Positions (direct):
Th 0.000 0.000 0.000
Th 0.272 0.272 0.000
Th 0.728 0.728 0.000
Fe 0.309 0.500 0.809
Fe 0.500 0.000 0.500
Fe 0.691 0.500 0.191
B 0.065 0.368 0.697
B 0.161 0.884 0.277
B 0.329 0.632 0.697
B 0.393 0.116 0.277
B 0.607 0.884 0.723
B 0.671 0.368 0.303
B 0.839 0.116 0.723
B 0.935 0.632 0.303

Entry 3:
This record from the Alexandria database describes a relaxed ThFe12B6 crystal. The functional is PBE-GGA.

Summary:
Crystal system: trigonal
Total magnetization (μB per formula unit): 4.2
Formation energy (kJ/mol of atoms): -27.3
DOS(E_F) (states/eV/atom): 1.218
VASP energy (eV/atom): -8.13

a b c (Å): 5.964 5.964 5.964
angles (deg): 103.70 103.70 103.70
Positions (direct):
Th 0.000 0.000 0.000
Fe 0.133 0.500 0.867
Fe 0.133 0.867 0.500
Fe 0.185 0.459 0.459
Fe 0.459 0.185 0.459
Fe 0.459 0.459 0.185
Fe 0.500 0.133 0.867
Fe 0.500 0.867 0.133
Fe 0.541 0.541 0.815
Fe 0.541 0.815 0.541
Fe 0.815 0.541 0.541
Fe 0.867 0.133 0.500
Fe 0.867 0.500 0.133
B 0.232 0.232 0.682
B 0.232 0.682 0.232
B 0.318 0.768 0.768
B 0.682 0.232 0.232
B 0.768 0.318 0.768
B 0.768 0.768 0.318

Entry 4:
This record from the Alexandria database describes a relaxed ThFe10B2 crystal. The functional is PBE-GGA.

Summary:
Crystal system: orthorhombic
Total magnetization (μB per formula unit): 19.4
Formation energy (kJ/mol of atoms): -5.0
DOS(E_F) (states/eV/atom): 0.877
VASP energy (eV/atom): -8.16

a b c (Å): 6.214 6.214 7.880
angles (deg): 90.00 90.00 97.35
Positions (direct):
Th 0.110 0.890 0.750
Th 0.890 0.110 0.250
Fe 0.110 0.406 0.750
Fe 0.173 0.827 0.093
Fe 0.173 0.827 0.407
Fe 0.235 0.235 0.000
Fe 0.235 0.235 0.500
Fe 0.244 0.471 0.250
Fe 0.388 0.612 0.576
Fe 0.388 0.612 0.924
Fe 0.406 0.110 0.250
Fe 0.471 0.244 0.750
Fe 0.529 0.756 0.250
Fe 0.594 0.890 0.750
Fe 0.612 0.388 0.076
Fe 0.612 0.388 0.424
Fe 0.756 0.529 0.750
Fe 0.765 0.765 0.000
Fe 0.765 0.765 0.500
Fe 0.827 0.173 0.593
Fe 0.827 0.173 0.907
Fe 0.890 0.594 0.250
B 0.000 0.500 0.000
B 0.000 0.500 0.500
B 0.500 0.000 0.000
B 0.500 0.000 0.500

Entry 5:
This record from the Alexandria database describes a relaxed ThFeB crystal. The functional is PBE-GGA.

Summary:
Energy above the most stable polymorph in this dataset (meV per atom): 170
Crystal system: hexagonal
Total magnetization (μB per formula unit): 0.1
Formation energy (kJ/mol of atoms): -19.3
DOS(E_F) (states/eV/atom): 1.124
VASP energy (eV/atom): -7.72

a b c (Å): 3.642 3.642 4.127
angles (deg): 90.00 90.00 120.00
Positions (direct):
Th 0.000 0.000 0.000
Fe 0.667 0.333 0.500
B 0.333 0.667 0.500

Entry 6:
This record from the Alexandria database describes a relaxed ThFeB14 crystal. The functional is PBE-GGA.

Summary:
Crystal system: orthorhombic
Total magnetization (μB per formula unit): 2.7
Formation energy (kJ/mol of atoms): -12.2
DOS(E_F) (states/eV/atom): 0.224
VASP energy (eV/atom): -6.96

a b c (Å): 7.407 7.407 7.407
angles (deg): 133.53 86.89 111.44
Positions (direct):
Th 0.378 0.128 0.250
Th 0.622 0.872 0.750
Fe 0.000 0.000 0.500
Fe 0.000 0.500 0.000
B 0.005 0.137 0.868
B 0.029 0.201 0.329
B 0.029 0.700 0.828
B 0.080 0.667 0.413
B 0.201 0.535 0.667
B 0.218 0.497 0.397
B 0.218 0.822 0.721
B 0.232 0.863 0.368
B 0.246 0.333 0.913
B 0.368 0.535 0.833
B 0.373 0.201 0.672
B 0.373 0.700 0.171
B 0.400 0.178 0.897
B 0.400 0.503 0.221
B 0.600 0.497 0.779
B 0.600 0.822 0.103
B 0.627 0.300 0.829
B 0.627 0.799 0.328
B 0.632 0.465 0.167
B 0.754 0.667 0.087
B 0.768 0.137 0.632
B 0.782 0.178 0.279
B 0.782 0.503 0.603
B 0.799 0.465 0.333
B 0.920 0.333 0.587
B 0.971 0.300 0.172
B 0.971 0.799 0.671
B 0.995 0.863 0.132

Entry 7:
This record from the Alexandria database describes a relaxed ThFeB crystal. The functional is PBE-GGA.

Summary:
Energy above the most stable polymorph in this dataset (meV per atom): 0
Crystal system: tetragonal
Total magnetization (μB per formula unit): 0.0
Formation energy (kJ/mol of atoms): -35.8
DOS(E_F) (states/eV/atom): 0.891
VASP energy (eV/atom): -7.89

a b c (Å): 3.706 3.706 7.171
angles (deg): 90.00 90.00 90.00
Positions (direct):
Th 0.250 0.250 0.202
Th 0.750 0.750 0.798
Fe 0.250 0.750 0.500
Fe 0.750 0.250 0.500
B 0.250 0.250 0.630
B 0.750 0.750 0.370

Entry 8:
This record from the Alexandria database describes a relaxed Th2Fe5B4 crystal. The functional is PBE-GGA.

Summary:
Crystal system: monoclinic
Total magnetization (μB per formula unit): 6.0
Formation energy (kJ/mol of atoms): -33.4
DOS(E_F) (states/eV/atom): 0.851
VASP energy (eV/atom): -7.97

a b c (Å): 5.601 5.601 6.728
angles (deg): 121.66 121.66 54.44
Positions (direct):
Th 0.224 0.224 0.154
Th 0.776 0.776 0.846
Fe 0.182 0.677 0.633
Fe 0.323 0.818 0.367
Fe 0.500 0.500 0.000
Fe 0.677 0.182 0.633
Fe 0.818 0.323 0.367
B 0.098 0.098 0.644
B 0.271 0.271 0.648
B 0.729 0.729 0.352
B 0.902 0.902 0.356

Entry 9:
This record from the Alexandria database describes a relaxed Ti2FeB crystal. The functional is PBE-GGA.

Summary:
Crystal system: tetragonal
Total magnetization (μB per formula unit): 0.6
Formation energy (kJ/mol of atoms): -21.5
DOS(E_F) (states/eV/atom): 0.541
VASP energy (eV/atom): -7.95

a b c (Å): 3.965 3.965 3.053
angles (deg): 90.00 90.00 90.00
Positions (direct):
Ti 0.000 0.500 0.000
Ti 0.500 0.000 0.000
Fe 0.000 0.000 0.500
B 0.500 0.500 0.500

Entry 10:
This record from the Alexandria database describes a relaxed TiFeB2 crystal. The functional is PBE-GGA.

Summary:
Crystal system: cubic
Total magnetization (μB per formula unit): 0.0
Formation energy (kJ/mol of atoms): -9.2
DOS(E_F) (states/eV/atom): 0.402
VASP energy (eV/atom): -7.52

a b c (Å): 3.717 3.717 3.717
angles (deg): 60.00 60.00 60.00
Positions (direct):
Ti 0.000 0.000 0.000
Fe 0.500 0.500 0.500
B 0.250 0.250 0.250
B 0.750 0.750 0.750

Entry 11:
This record from the Alexandria database describes a relaxed TiFe8B4 crystal. The functional is PBE-GGA.

Summary:
Crystal system: tetragonal
Total magnetization (μB per formula unit): 10.3
Formation energy (kJ/mol of atoms): -15.5
DOS(E_F) (states/eV/atom): 0.942
VASP energy (eV/atom): -8.03

a b c (Å): 5.747 5.747 5.747
angles (deg): 98.05 98.05 136.06
Positions (direct):
Ti 0.000 0.000 0.000
Fe 0.000 0.345 0.345
Fe 0.000 0.655 0.655
Fe 0.281 0.500 0.781
Fe 0.345 0.000 0.345
Fe 0.500 0.281 0.781
Fe 0.500 0.719 0.219
Fe 0.655 0.000 0.655
Fe 0.719 0.500 0.219
B 0.000 0.000 0.500
B 0.000 0.500 0.000
B 0.500 0.000 0.000
B 0.500 0.500 0.500

Entry 12:
This record from the Alexandria database describes a relaxed Ti3FeB7 crystal. The functional is PBE-GGA.

Summary:
Crystal system: orthorhombic
Total magnetization (μB per formula unit): 0.0
Formation energy (kJ/mol of atoms): -80.7
DOS(E_F) (states/eV/atom): 0.427
VASP energy (eV/atom): -8.01

a b c (Å): 7.215 7.215 8.707
angles (deg): 90.00 90.00 155.19
Positions (direct):
Ti 0.107 0.893 0.551
Ti 0.107 0.893 0.949
Ti 0.247 0.753 0.250
Ti 0.753 0.247 0.750
Ti 0.893 0.107 0.051
Ti 0.893 0.107 0.449
Fe 0.047 0.953 0.250
Fe 0.953 0.047 0.750
B 0.272 0.728 0.533
B 0.272 0.728 0.967
B 0.368 0.632 0.651
B 0.368 0.632 0.849
B 0.433 0.567 0.250
B 0.486 0.514 0.594
B 0.486 0.514 0.906
B 0.514 0.486 0.094
B 0.514 0.486 0.406
B 0.567 0.433 0.750
B 0.632 0.368 0.151
B 0.632 0.368 0.349
B 0.728 0.272 0.033
B 0.728 0.272 0.467

Entry 13:
This record from the Alexandria database describes a relaxed Ti2FeB crystal. The functional is PBE-GGA.

Summary:
Crystal system: trigonal
Total magnetization (μB per formula unit): 1.4
Formation energy (kJ/mol of atoms): 17.8
DOS(E_F) (states/eV/atom): 0.695
VASP energy (eV/atom): -7.55

a b c (Å): 7.274 7.274 7.274
angles (deg): 24.20 24.20 24.20
Positions (direct):
Ti 0.107 0.107 0.107
Ti 0.893 0.893 0.893
Fe 0.000 0.000 0.000
B 0.500 0.500 0.500

Entry 14:
This record from the Alexandria database describes a relaxed Ti2FeB crystal. The functional is PBE-GGA.

Summary:
Crystal system: tetragonal
Total magnetization (μB per formula unit): 1.7
Formation energy (kJ/mol of atoms): 20.4
DOS(E_F) (states/eV/atom): 0.740
VASP energy (eV/atom): -7.52

a b c (Å): 5.264 5.264 5.264
angles (deg): 100.74 100.74 128.85
Positions (direct):
Ti 0.084 0.625 0.959
Ti 0.375 0.334 0.459
Ti 0.666 0.125 0.041
Ti 0.875 0.916 0.541
Fe 0.250 0.750 0.500
Fe 0.500 0.500 0.000
B 0.000 0.000 0.000
B 0.750 0.250 0.500

Entry 15:
This record from the Alexandria database describes a relaxed Ti2VFe5B2 crystal. The functional is PBE-GGA.

Summary:
Crystal system: tetragonal
Total magnetization (μB per formula unit): 0.0
Formation energy (kJ/mol of atoms): -47.8
DOS(E_F) (states/eV/atom): 0.696
VASP energy (eV/atom): -8.55

a b c (Å): 8.588 8.588 2.859
angles (deg): 90.00 90.00 90.00
Positions (direct):
Ti 0.175 0.325 0.000
Ti 0.325 0.825 0.000
Ti 0.675 0.175 0.000
Ti 0.825 0.675 0.000
V 0.000 0.000 0.000
V 0.500 0.500 0.000
Fe 0.000 0.500 0.500
Fe 0.069 0.785 0.500
Fe 0.215 0.069 0.500
Fe 0.285 0.569 0.500
Fe 0.431 0.285 0.500
Fe 0.500 0.000 0.500
Fe 0.569 0.715 0.500
Fe 0.715 0.431 0.500
Fe 0.785 0.931 0.500
Fe 0.931 0.215 0.500
B 0.122 0.622 0.000
B 0.378 0.122 0.000
B 0.622 0.878 0.000
B 0.878 0.378 0.000

Entry 16:
This record from the Alexandria database describes a relaxed Ti2Fe5B2W crystal. The functional is PBE-GGA.

Summary:
Crystal system: tetragonal
Total magnetization (μB per formula unit): 0.0
Formation energy (kJ/mol of atoms): -41.8
DOS(E_F) (states/eV/atom): 0.323
VASP energy (eV/atom): -8.87

a b c (Å): 8.681 8.681 2.905
angles (deg): 90.00 90.00 90.00
Positions (direct):
Ti 0.174 0.326 0.000
Ti 0.326 0.826 0.000
Ti 0.674 0.174 0.000
Ti 0.826 0.674 0.000
Fe 0.000 0.500 0.500
Fe 0.071 0.781 0.500
Fe 0.219 0.071 0.500
Fe 0.281 0.571 0.500
Fe 0.429 0.281 0.500
Fe 0.500 0.000 0.500
Fe 0.571 0.719 0.500
Fe 0.719 0.429 0.500
Fe 0.781 0.929 0.500
Fe 0.929 0.219 0.500
B 0.120 0.620 0.000
B 0.380 0.120 0.000
B 0.620 0.880 0.000
B 0.880 0.380 0.000
W 0.000 0.000 0.000
W 0.500 0.500 0.000

Entry 17:
This record from the Alexandria database describes a relaxed TlFeB2 crystal. The functional is PBE-GGA.

Summary:
Energy above the most stable polymorph in this dataset (meV per atom): 0
Crystal system: tetragonal
Total magnetization (μB per formula unit): 0.0
Formation energy (kJ/mol of atoms): 61.6
DOS(E_F) (states/eV/atom): 0.777
VASP energy (eV/atom): -5.41

a b c (Å): 7.347 7.347 7.347
angles (deg): 149.02 149.02 44.39
Positions (direct):
Tl 0.375 0.625 0.750
Tl 0.625 0.375 0.250
Fe 0.125 0.875 0.250
Fe 0.875 0.125 0.750
B 0.000 0.000 0.000
B 0.000 0.000 0.500
B 0.000 0.500 0.000
B 0.500 0.000 0.500

Entry 18:
This record from the Alexandria database describes a relaxed TlFeB3 crystal. The functional is PBE-GGA.

Summary:
Energy above the most stable polymorph in this dataset (meV per atom): 0
Crystal system: cubic
Total magnetization (μB per formula unit): 0.0
Formation energy (kJ/mol of atoms): 91.8
DOS(E_F) (states/eV/atom): 0.000
VASP energy (eV/atom): -5.22

a b c (Å): 3.992 3.992 3.992
angles (deg): 90.00 90.00 90.00
Positions (direct):
Tl 0.000 0.000 0.000
Fe 0.500 0.500 0.500
B 0.000 0.500 0.500
B 0.500 0.000 0.500
B 0.500 0.500 0.000

Entry 19:
This record from the Alexandria database describes a relaxed TlFe2B crystal. The functional is PBE-GGA.

Summary:
Energy above the most stable polymorph in this dataset (meV per atom): 0
Crystal system: tetragonal
Total magnetization (μB per formula unit): 0.0
Formation energy (kJ/mol of atoms): 83.8
DOS(E_F) (states/eV/atom): 1.104
VASP energy (eV/atom): -5.62

a b c (Å): 7.334 7.334 7.334
angles (deg): 145.86 145.86 49.05
Positions (direct):
Tl 0.000 0.000 0.000
Tl 0.750 0.250 0.500
Fe 0.352 0.125 0.727
Fe 0.375 0.648 0.773
Fe 0.398 0.625 0.273
Fe 0.875 0.602 0.227
B 0.250 0.750 0.500
B 0.500 0.500 0.000

Entry 20:
This record from the Alexandria database describes a relaxed TlFeB2 crystal. The functional is PBE-GGA.

Summary:
Energy above the most stable polymorph in this dataset (meV per atom): 1002
Crystal system: cubic
Total magnetization (μB per formula unit): 2.1
Formation energy (kJ/mol of atoms): 158.2
DOS(E_F) (states/eV/atom): 1.060
VASP energy (eV/atom): -4.41

a b c (Å): 4.117 4.117 4.117
angles (deg): 60.00 60.00 60.00
Positions (direct):
Tl 0.000 0.000 0.000
Fe 0.500 0.500 0.500
B 0.250 0.250 0.250
B 0.750 0.750 0.750